Material: KCd2Fe
Method: DFT, PBEsol
State: relaxed

Output
The size of the total moment comes out at 2.9 μB per formula unit. The energy above the most stable polymorph in this dataset is 195 meV/atom. The calculation puts the formation energy at 2.97 eV per formula unit.

```
data_KCd2Fe
_cell_length_a 4.620
_cell_length_b 4.620
_cell_length_c 4.233
_cell_angle_alpha 90.00
_cell_angle_beta 90.00
_cell_angle_gamma 90.00
_symmetry_space_group_name_H-M 'P 4/m m m'
_symmetry_Int_Tables_number 123
_symmetry_space_group_name_Hall '-P 4 2'
loop_
_atom_site_label
_atom_site_fract_x
_atom_site_fract_y
_atom_site_fract_z
_atom_site_occupancy
K1 0.000 0.000 0.000 1
Cd1 0.000 0.500 0.500 1
Fe1 0.500 0.500 0.000 1
```